Pm2TiMnO6: relaxed, GGA+U.

## Properties
* E_tot: -8.342 eV per atom

Cell lengths 5.3306, 5.3306, 4.9737 Å; angles 90.00, 90.00, 90.00 degrees
Last column: nearest neighbours and their distance in Å.
Positions (direct):
Pm1 0.0000 0.5000 0.0000  4 O 2.33
Pm2 0.5000 0.0000 0.0000  4 O 2.33
Ti1 0.0000 0.0000 0.5886  5 O 1.84-1.92
Mn1 0.5000 0.5000 0.5623  5 O 2.02-2.13
O1 0.0000 0.0000 0.2185  1 Ti 1.84
O2 0.2387 0.2387 0.7238  1 Ti 1.92, 1 Mn 2.13
O3 0.2387 0.7613 0.7238  1 Ti 1.92, 1 Mn 2.13
O4 0.5000 0.5000 0.1566  1 Mn 2.02
O5 0.7613 0.2387 0.7238  1 Ti 1.92, 1 Mn 2.13
O6 0.7613 0.7613 0.7238  1 Ti 1.92, 1 Mn 2.13